Here is a relaxed structure of Na3Co4O8 from Alexandria. Energies are from GGA+U.

Structure (extended XYZ):
```
30
Lattice="2.8804 0.0000 0.0000 0.0000 9.8229 0.0000 0.0000 0.0000 10.8953" Properties=species:S:1:pos:R:3 pbc="T T T"
Na 0.0000 3.4737 5.4477
Na 0.0000 6.8334 5.4477
Na 0.0000 0.0452 0.0000
Na 1.4402 6.3492 0.0000
Na 1.4402 9.7778 5.4477
Na 1.4402 2.9895 0.0000
Co 0.0000 8.5874 8.1402
Co 0.0000 8.5874 2.7551
Co 0.0000 3.6959 8.2233
Co 0.0000 3.6959 2.6720
Co 1.4402 6.1270 8.1197
Co 1.4402 6.1270 2.7757
Co 1.4402 1.2355 2.6926
Co 1.4402 1.2355 8.2028
O 0.0000 6.9460 9.0924
O 0.0000 2.0316 9.2284
O 0.0000 6.9460 1.8029
O 0.0000 5.2845 7.1714
O 0.0000 2.0316 1.6670
O 0.0000 0.4399 7.2105
O 0.0000 5.2845 3.7239
O 0.0000 0.4399 3.6849
O 1.4402 4.5384 9.1716
O 1.4402 9.3830 9.1325
O 1.4402 7.7913 7.1146
O 1.4402 2.8769 7.2506
O 1.4402 9.3830 1.7628
O 1.4402 7.7913 3.7807
O 1.4402 4.5384 1.7237
O 1.4402 2.8769 3.6448
```

Output
Relative energy among the computed polymorphs: 0 kJ/mol of formula units